# 1
A plane-wave DFT calculation with PBE-GGA was carried out for Tl2Te2Se5 after structural relaxation.

Calculated values
energy relative to the lowest polymorph listed for this composition: 12.8 meV/atom
DOS(E_F): 0.20 states/eV/atom

Lattice parameters (Å, degrees): 16.7166 5.7007 6.4840 90.00 106.61 90.00
Closest atoms and distances in Å follow each position.
Space group C2/m (No. 12)
Unique sites:
Tl: 0.0597 0.0000 0.3076 [4 per cell]  5 Se 3.16-3.46
Te: 0.1587 0.5000 0.9093 [4 per cell]  1 Se 2.49
Se: 0.0000 0.5000 0.0000 [2 per cell]  2 Te 2.88
Se: 0.1156 0.5000 0.5083 [4 per cell]  1 Te 2.49
Se: 0.1610 0.0000 0.9599 [4 per cell]  3 Te 2.87-2.89, 1 Tl 3.18


# 2
A plane-wave DFT calculation with PBE-GGA was carried out for TlTeSe2 after structural relaxation.

Calculated values
energy relative to the lowest polymorph listed for this composition: 140.4 meV/atom
DOS(E_F): 0.45 states/eV/atom

Lattice parameters (Å, degrees): 8.5851 8.6055 3.0143 90.00 90.24 90.00
Closest atoms and distances in Å follow each position.
Space group C2/m (No. 12)
Unique sites:
Tl: 0.0000 0.0000 0.0000 [2 per cell]  2 Tl 3.01, 4 Se 3.04
Te: 0.0000 0.5000 0.0000 [2 per cell]  2 Te 3.01, 4 Se 3.04
Se: 0.2500 0.2500 0.0000 [4 per cell]  2 Se 3.01, 2 Tl 3.04, 2 Te 3.04


# 3
A plane-wave DFT calculation with PBE-GGA was carried out for TlTe2Se after structural relaxation.

Calculated values
DOS(E_F): 0.77 states/eV/atom
calculated total energy: -24.4 eV/cell

Lattice parameters (Å, degrees): 13.1037 4.4884 4.4891 90.00 109.70 90.00
Closest atoms and distances in Å follow each position.
Space group Cm (No. 8)
Unique sites:
Tl: 0.0000 0.0000 0.0000 [2 per cell]  1 Se 3.02, 5 Te 3.18-3.38
Te: 0.2263 0.5000 0.7269 [2 per cell]  1 Te 3.01, 4 Se 3.18
Te: 0.4827 0.0000 0.4829 [2 per cell]  1 Se 2.93, 1 Te 3.01, 4 Tl 3.18
Se: 0.2450 0.0000 0.2449 [2 per cell]  5 Te 2.93-3.18, 1 Tl 3.02


# 4
A plane-wave DFT calculation with PBE-GGA was carried out for TlTeSe2 after structural relaxation.

Calculated values
energy relative to the lowest polymorph listed for this composition: 127.4 meV/atom
DOS(E_F): 0.57 states/eV/atom

Lattice parameters (Å, degrees): 4.0652 8.2026 8.4183 90.00 90.00 90.00
Closest atoms and distances in Å follow each position.
Space group Cmmm (No. 65)
Unique sites:
Tl: 0.0000 0.0000 0.0000 [2 per cell]  4 Se 3.08
Te: 0.0000 0.0000 0.5000 [2 per cell]  4 Se 2.78
Se: 0.0000 0.5000 0.2750 [4 per cell]  2 Te 2.78, 2 Tl 3.08


# 5
A plane-wave DFT calculation with PBE-GGA was carried out for TlTe2Se2 after structural relaxation.

Calculated values
energy relative to the lowest polymorph listed for this composition: 58.0 meV/atom
DOS(E_F): 0.60 states/eV/atom

Lattice parameters (Å, degrees): 8.7827 8.7827 3.7811 90.00 90.00 90.00
Closest atoms and distances in Å follow each position.
Space group P4/mbm (No. 127)
Unique sites:
Tl: 0.0000 0.0000 0.0000 [2 per cell]  4 Te 3.42, 8 Se 3.68, 2 Tl 3.78
Te: 0.1339 0.3661 0.0000 [4 per cell]  2 Se 2.78
Se: 0.2019 0.7019 0.5000 [4 per cell]  2 Te 2.78


# 6
A plane-wave DFT calculation with PBE-GGA was carried out for TlTe2Se after structural relaxation.

Calculated values
DOS(E_F): 0.55 states/eV/atom
calculated total energy: -23.4 eV/cell

Lattice parameters (Å, degrees): 4.1631 4.1631 16.4895 90.00 90.00 90.00
Closest atoms and distances in Å follow each position.
Space group I-4m2 (No. 119)
Unique sites:
Tl: 0.0000 0.0000 0.0000 [2 per cell]  4 Te 2.94
Te: 0.0000 0.0000 0.5000 [2 per cell]  4 Tl 2.94
Te: 0.0000 0.5000 0.2500 [2 per cell]  4 Se 2.94
Se: 0.0000 0.5000 0.7500 [2 per cell]  4 Te 2.94